# 1
# Pa2RuRh3

Crystalline Pa2RuRh3 at its relaxed geometry (GGA-PBE, Alexandria via LeMat-Bulk).

Cell: 8.241 10.536 5.578 Å, 90.00 90.00 90.00°
Space group Ibam (No. 72)
Inequivalent atoms, fractional coordinates:
Pa 0.238 0.126 0.000 (multiplicity 8)
Ru 0.000 0.500 0.000 (multiplicity 4)
Rh 0.000 0.000 0.250 (multiplicity 4)
Rh 0.000 0.267 0.250 (multiplicity 8)

Values from the calculation:
Energy of formation = -509.8 meV/atom

=====

# 2
# Pa4RuRh12

Crystalline Pa4RuRh12 at its relaxed geometry (GGA-PBE, Alexandria via LeMat-Bulk).

Cell: 8.347 8.347 8.347 Å, 90.00 90.00 90.00°
Space group Im-3m (No. 229)
Inequivalent atoms, fractional coordinates:
Pa 0.250 0.250 0.250 (multiplicity 8)
Ru 0.000 0.000 0.000 (multiplicity 2)
Rh 0.000 0.000 0.294 (multiplicity 12)
Rh 0.000 0.250 0.500 (multiplicity 12)

Values from the calculation:
Energy of formation = -638.2 meV/atom

=====

# 3
# PaRu2Rh

Crystalline PaRu2Rh at its relaxed geometry (GGA-PBE, Alexandria via LeMat-Bulk).

Cell: 4.6395 4.6395 11.4616 Å, 90.00 90.00 120.00°
Space group R-3m (No. 166, hexagonal axes)
Inequivalent atoms, fractional coordinates:
Pa 0.0000 0.0000 0.0000 (multiplicity 3)
Ru 0.0000 0.0000 0.2100 (multiplicity 6)
Rh 0.0000 0.0000 0.5000 (multiplicity 3)

Values from the calculation:
Energy relative to the lowest polymorph listed for this composition = 244 meV/atom
Energy of formation = -306.0 meV/atom

=====

# 4
# PaRu2Rh

Crystalline PaRu2Rh at its relaxed geometry (GGA-PBE, Alexandria via LeMat-Bulk).

Cell: 4.066 4.066 4.012 Å, 90.00 90.00 90.00°
Space group P4/mmm (No. 123)
Inequivalent atoms, fractional coordinates:
Pa 0.000 0.000 0.000 (multiplicity 1)
Ru 0.000 0.500 0.500 (multiplicity 2)
Rh 0.500 0.500 0.000 (multiplicity 1)

Values from the calculation:
Energy relative to the lowest polymorph listed for this composition = 9 meV/atom
Energy of formation = -541.3 meV/atom

=====

# 5
# Pa2Ru3Rh3

Crystalline Pa2Ru3Rh3 at its relaxed geometry (GGA-PBE, Alexandria via LeMat-Bulk).

Cell: 4.025 4.045 8.162 Å, 90.00 90.00 90.00°
Space group Pmmm (No. 47)
Inequivalent atoms, fractional coordinates:
Pa 0.000 0.000 0.249 (multiplicity 2)
Ru 0.500 0.000 0.000 (multiplicity 1)
Ru 0.500 0.500 0.248 (multiplicity 2)
Rh 0.000 0.500 0.000 (multiplicity 1)
Rh 0.000 0.500 0.500 (multiplicity 1)
Rh 0.500 0.000 0.500 (multiplicity 1)

Values from the calculation:
Energy of formation = -630.8 meV/atom

=====

# 6
# Pa2Ru2Rh

Crystalline Pa2Ru2Rh at its relaxed geometry (GGA-PBE, Alexandria via LeMat-Bulk).

Cell: 4.3303 4.3303 12.3637 Å, 90.00 90.00 120.00°
Space group P6_3/mmc (No. 194)
Inequivalent atoms, fractional coordinates:
Pa 0.3333 0.6667 0.1077 (multiplicity 4)
Ru 0.0000 0.0000 0.0000 (multiplicity 2)
Ru 0.3333 0.6667 0.7500 (multiplicity 2)
Rh 0.0000 0.0000 0.2500 (multiplicity 2)

Values from the calculation:
Energy of formation = -346.2 meV/atom

=====

# 7
# PaRuRh2

Crystalline PaRuRh2 at its relaxed geometry (GGA-PBE, Alexandria via LeMat-Bulk).

Cell: 4.5439 4.5439 11.6185 Å, 90.00 90.00 120.00°
Space group R-3m (No. 166, hexagonal axes)
Inequivalent atoms, fractional coordinates:
Pa 0.0000 0.0000 0.0000 (multiplicity 3)
Ru 0.0000 0.0000 0.5000 (multiplicity 3)
Rh 0.0000 0.0000 0.2691 (multiplicity 6)

Values from the calculation:
Energy relative to the lowest polymorph listed for this composition = 393 meV/atom
Energy of formation = -320.7 meV/atom

=====

# 8
# PaSbRuRh

Crystalline PaSbRuRh at its relaxed geometry (GGA-PBE, Alexandria via LeMat-Bulk).

Cell: 6.757 6.757 6.757 Å, 90.00 90.00 90.00°
Space group F-43m (No. 216)
Inequivalent atoms, fractional coordinates:
Pa 0.000 0.000 0.000 (multiplicity 4)
Sb 0.000 0.000 0.500 (multiplicity 4)
Ru 0.250 0.250 0.250 (multiplicity 4)
Rh 0.250 0.250 0.750 (multiplicity 4)

Values from the calculation:
Formation energy without anion corrections = -373 meV per atom

=====

| no. | M_tot (μB per atom) |
| --- | --- |
| 1 | 0.00 |
| 2 | 0.00 |
| 3 | 0.00 |
| 4 | 0.00 |
| 5 | 0.00 |
| 6 | 0.00 |
| 7 | 0.00 |
| 8 | 0.02 |